Computed, not measured: a relaxed AcNd8Dy3 crystal at the PBE-GGA level of DFT.

Results
ΔE_f: 120 meV/atom
space-group type: C2, No. 5

a = 9.0335 Å, b = 9.0335 Å, c = 6.5532 Å
α = 110.63°, β = 110.63°, γ = 59.95°
Element x y z (fractional)
Ac (0.0000, 0.0000, 0.0000)
Nd (0.1606, 0.3477, 0.3458)
Nd (0.1661, 0.0978, 0.6363)
Nd (0.5027, 0.1483, 0.0928)
Nd (0.5985, 0.2653, 0.6876)
Nd (0.6523, 0.8394, 0.6542)
Nd (0.7347, 0.4015, 0.3124)
Nd (0.8517, 0.4973, 0.9072)
Nd (0.9022, 0.8339, 0.3637)
Dy (0.2103, 0.5383, 0.9077)
Dy (0.3546, 0.6454, 0.5000)
Dy (0.4617, 0.7897, 0.0923)

Computed, not measured: a relaxed AcNd4Dy15 crystal at the PBE-GGA level of DFT.

Results
ΔE_f: 27 meV/atom
space-group type: P4/mmm, No. 123

a = 5.0883 Å, b = 5.0883 Å, c = 25.2989 Å
α = 90.00°, β = 90.00°, γ = 90.00°
Element x y z (fractional)
Ac (0.0000, 0.0000, 0.0000)
Nd (0.0000, 0.0000, 0.2019)
Nd (0.0000, 0.0000, 0.4009)
Nd (0.0000, 0.0000, 0.5991)
Nd (0.0000, 0.0000, 0.7981)
Dy (0.0000, 0.5000, 0.1036)
Dy (0.0000, 0.5000, 0.3017)
Dy (0.0000, 0.5000, 0.5000)
Dy (0.0000, 0.5000, 0.6983)
Dy (0.0000, 0.5000, 0.8964)
Dy (0.5000, 0.0000, 0.1036)
Dy (0.5000, 0.0000, 0.3017)
Dy (0.5000, 0.0000, 0.5000)
Dy (0.5000, 0.0000, 0.6983)
Dy (0.5000, 0.0000, 0.8964)
Dy (0.5000, 0.5000, 0.0000)
Dy (0.5000, 0.5000, 0.2026)
Dy (0.5000, 0.5000, 0.4008)
Dy (0.5000, 0.5000, 0.5992)
Dy (0.5000, 0.5000, 0.7974)